Run w
Entry from Alexandria via LeMat-Bulk: MgAl2Hg at its PBEsol-relaxed geometry (meta-GGA SCAN).

DOS at the Fermi energy (states/eV/f.u.): 1.331

POSCAR file:
```
MgAl2Hg
1.0
2.8311 -4.2717 0.0000
2.8311 4.2717 0.0000
0.0000 0.0000 3.1408
Mg Al Hg
1 2 1
Cartesian
0.0000 0.0000 0.0000
1.4156 2.1358 1.5704
1.4156 -2.1358 1.5704
2.8311 0.0000 0.0000
```

***

Run x
Entry from Alexandria via LeMat-Bulk: MgAl2Hg at its PBEsol-relaxed geometry (meta-GGA SCAN).

DOS at the Fermi energy (states/eV/f.u.): 1.566

POSCAR file:
```
MgAl2Hg
1.0
-2.1122 2.1122 4.1855
2.1122 -2.1122 4.1855
2.1122 2.1122 -4.1855
Mg Al Hg
1 2 1
Cartesian
0.0000 0.0000 0.0000
2.1122 0.0000 2.0928
0.0000 0.0000 4.1855
0.0000 2.1122 2.0928
```

***

Of them, the most stable is run x and the least stable is run w.

***

Run w
Entry from Alexandria via LeMat-Bulk: AlNi2Hg at its PBEsol-relaxed geometry (meta-GGA SCAN).

DOS at the Fermi energy (states/eV/f.u.): 2.690

POSCAR file:
```
AlNi2Hg
1.0
3.9778 0.0000 0.0000
0.0000 3.9778 0.0000
0.0000 0.0000 3.3842
Al Ni Hg
1 2 1
Cartesian
0.0000 0.0000 0.0000
0.0000 1.9889 1.6921
1.9889 0.0000 1.6921
1.9889 1.9889 0.0000
```

***

Run x
Entry from Alexandria via LeMat-Bulk: AlNi2Hg at its PBEsol-relaxed geometry (meta-GGA SCAN).

DOS at the Fermi energy (states/eV/f.u.): 2.522

POSCAR file:
```
AlNi2Hg
1.0
2.8761 0.0000 0.0000
0.0000 2.8761 0.0000
0.0000 0.0000 6.4357
Al Ni Hg
1 2 1
Cartesian
0.0000 0.0000 0.0000
1.4380 1.4380 1.3616
1.4380 1.4380 5.0741
0.0000 0.0000 3.2178
```

***

Of them, the most stable is run x and the least stable is run w.